# 1
# TaPdS3, relaxed, DFT PBE
# Fermi-level density of states: 3.32 states/eV/f.u.
# polymorph energy (0 for the lowest one): 160.0 meV per atom
# calculated volume: 18.263 A^3/atom
# E: -64.0 eV for the cell shown
# spin magnetization: 0.000 μB/atom
# E_form (uncorrected): -510 meV per atom
data_TaPdS3
_space_group_name_H-M_alt 'P 1'
_space_group_IT_number 1
_space_group_name_Hall 'P 1'
_cell_length_a 3.6942
_cell_length_b 6.8705
_cell_length_c 7.4756
_cell_angle_alpha 96.41
_cell_angle_beta 104.31
_cell_angle_gamma 90.00
loop_
_atom_site_label
_atom_site_type_symbol
_atom_site_fract_x
_atom_site_fract_y
_atom_site_fract_z
S1 S 0.9621 0.7580 0.9243
S2 S 0.6624 0.9970 0.3249
S3 S 0.0379 0.2420 0.0757
S4 S 0.8064 0.3920 0.6128
S5 S 0.3376 0.0030 0.6751
S6 S 0.1936 0.6080 0.3872
Ta1 Ta 0.8016 0.7641 0.6032
Ta2 Ta 0.1984 0.2359 0.3968
Pd1 Pd 0.4481 0.3140 0.8962
Pd2 Pd 0.5519 0.6860 0.1038



# 2
# NaCa2Pm3Te6, relaxed, DFT PBE
# Fermi-level density of states: 4.62 states/eV/f.u.
# calculated volume: 32.136 A^3/atom
# E: -55.9 eV for the cell shown
# spin magnetization: 0.000 μB/atom
# E_form (uncorrected): -1454 meV per atom
data_NaCa2Pm3Te6
_space_group_name_H-M_alt 'P 1'
_space_group_IT_number 1
_space_group_name_Hall 'P 1'
_cell_length_a 4.4542
_cell_length_b 9.0787
_cell_length_c 10.1084
_cell_angle_alpha 104.35
_cell_angle_beta 102.73
_cell_angle_gamma 90.00
loop_
_atom_site_label
_atom_site_type_symbol
_atom_site_fract_x
_atom_site_fract_y
_atom_site_fract_z
Pm1 Pm 0.5000 0.5000 0.0000
Pm2 Pm 0.1658 0.8322 0.3315
Pm3 Pm 0.8342 0.1678 0.6685
Ca1 Ca 0.8353 0.6708 0.6706
Ca2 Ca 0.1647 0.3292 0.3294
Te1 Te 0.3326 0.9169 0.6652
Te2 Te 0.9998 0.2516 0.9995
Te3 Te 0.0002 0.7484 0.0005
Te4 Te 0.6674 0.0831 0.3348
Te5 Te 0.6678 0.5811 0.3356
Te6 Te 0.3322 0.4189 0.6644
Na1 Na 0.5000 0.0000 0.0000



# 3
# KNF, relaxed, DFT PBE
# Fermi-level density of states: 0.00 states/eV/f.u.
# polymorph energy (0 for the lowest one): 0.0 meV per atom
# calculated volume: 22.238 A^3/atom
# E: -66.5 eV for the cell shown
# spin magnetization: 0.032 μB/atom
# E_form (uncorrected): -1777 meV per atom
data_KNF
_space_group_name_H-M_alt 'P 1'
_space_group_IT_number 1
_space_group_name_Hall 'P 1'
_cell_length_a 3.7491
_cell_length_b 7.4786
_cell_length_c 9.5384
_cell_angle_alpha 93.78
_cell_angle_beta 90.00
_cell_angle_gamma 90.00
loop_
_atom_site_label
_atom_site_type_symbol
_atom_site_fract_x
_atom_site_fract_y
_atom_site_fract_z
K1 K 0.2506 0.6367 0.6432
K2 K 0.7494 0.3633 0.3568
K3 K 0.7506 0.8633 0.3568
K4 K 0.2494 0.1367 0.6432
F1 F 0.2498 0.1141 0.3605
F2 F 0.2502 0.6141 0.3605
F3 F 0.7498 0.3859 0.6395
F4 F 0.7502 0.8859 0.6395
N1 N 0.4402 0.0410 0.9595
N2 N 0.0598 0.5410 0.9595
N3 N 0.9402 0.4590 0.0405
N4 N 0.5598 0.9590 0.0405